Below is a relaxed Mg5Cd12In2 crystal, with properties calculated at the PBE level.

Computed properties:
The space-group type is No. 12. The total DFT energy (no corrections) comes out at -1.27 eV per atom. The density comes out at 6.15 g/cm³.

a b c (Å): 9.9986 9.9986 7.8455
angles (deg): 92.74 92.74 35.89
Closest atoms and distances in Å follow each position.
Element x y z (fractional)
Mg 0.0000 0.0000 0.0000  6 Cd 2.97
Mg 0.2536 0.2536 0.0031  6 Cd 2.92-3.25, 2 Mg 3.08
Mg 0.3638 0.3638 0.5071  7 Cd 2.97-3.11, 2 In 3.04
Mg 0.6362 0.6362 0.4929  7 Cd 2.97-3.11, 2 In 3.04
Mg 0.7464 0.7464 0.9969  6 Cd 2.92-3.25, 2 Mg 3.08
Cd 0.0105 0.4970 0.6841  5 Cd 2.89-3.16, 4 Mg 2.92-3.07
Cd 0.1135 0.1135 0.2733  1 Mg 2.97, 2 Cd 2.98, 2 In 3.23
Cd 0.1362 0.6431 0.1729  3 Mg 2.97-3.25, 4 Cd 3.00-3.12, 1 In 3.23
Cd 0.3569 0.8638 0.8271  3 Mg 2.97-3.25, 4 Cd 3.00-3.12, 1 In 3.23
Cd 0.4395 0.4395 0.8594  1 Mg 3.05, 5 Cd 3.10-3.39
Cd 0.4970 0.0105 0.6841  5 Cd 2.89-3.16, 4 Mg 2.92-3.07
Cd 0.5030 0.9895 0.3159  5 Cd 2.89-3.16, 4 Mg 2.92-3.07
Cd 0.5605 0.5605 0.1406  1 Mg 3.05, 5 Cd 3.10-3.39
Cd 0.6431 0.1362 0.1729  3 Mg 2.97-3.25, 4 Cd 3.00-3.12, 1 In 3.23
Cd 0.8638 0.3569 0.8271  3 Mg 2.97-3.25, 4 Cd 3.00-3.12, 1 In 3.23
Cd 0.8865 0.8865 0.7267  1 Mg 2.97, 2 Cd 2.98, 2 In 3.23
Cd 0.9895 0.5030 0.3159  5 Cd 2.89-3.16, 4 Mg 2.92-3.07
In 0.2426 0.7574 0.5000  2 In 2.99-3.17, 2 Mg 3.04, 4 Cd 3.23
In 0.7574 0.2426 0.5000  2 In 2.99-3.17, 2 Mg 3.04, 4 Cd 3.23